Entry 1:
Ho3ZnGa4 PBE relaxed; volume = 183 Å³ per cell; E_form = -2.8 eV per formula unit; calculated density = 7.6 g cm⁻³
1.0
3.5873 0.0000 0.0000
0.0000 6.2237 0.0000
-1.7936 -3.1118 8.1811
Ho Zn Ga
3 1 4
Cartesian
0.0000 0.0000 3.5505
1.7936 3.1118 4.6305
0.0000 3.1118 0.0000
1.7936 0.0000 0.0000
0.0000 1.3790 6.2094
1.7936 1.7328 1.9716
1.7936 4.4909 1.9716
0.0000 -1.3790 6.2094

---

Entry 2:
GaRu3F PBE relaxed; volume = 74 Å³ per cell; ΔE to the lowest computed polymorph = 0.00 kcal/mol of atoms; calculated density = 8.8 g cm⁻³
1.0
-2.1381 2.8114 -2.2669
-2.7181 0.4818 3.1613
2.3779 3.0786 1.5753
Ru Ga F
3 1 1
Cartesian
-1.3591 0.2409 1.5806
1.1890 1.5393 0.7877
-1.0690 1.4057 -1.1334
-1.2392 3.1859 1.2349
0.0000 0.0000 0.0000

---

Entry 3:
BeHg2Br6 PBE relaxed; volume = 677 Å³ per cell; total energy = -2.217 eV per atom; calculated density = 4.4 g cm⁻³
1.0
-5.0597 -2.2528 4.5835
4.5328 -4.6411 8.0218
-2.8437 7.8733 6.0299
Be Hg Br
2 4 12
Cartesian
-2.4700 4.5301 7.6182
-0.9007 -3.5506 11.0169
0.4276 3.3852 10.2673
-2.5556 0.9044 5.7285
-3.7982 -2.4058 8.3679
-0.8151 0.0750 12.9066
0.7731 0.7426 10.9353
-0.3655 -0.7547 5.7452
-4.1437 0.2369 7.6998
-3.0052 1.7341 12.8899
-1.8131 -2.4513 12.6754
-1.1675 -2.6494 9.0400
-1.5575 3.4307 5.9597
-2.2031 3.6288 9.5952
3.2192 -3.2889 6.6450
1.3022 -3.7023 11.1464
-6.5898 4.2683 11.9902
-4.6728 4.6818 7.4887

---

For reference, total moment by record: 0.0; 0.0; 0.0 μB per cell.